1.
# AgOs2, optimized geometry, DFT PBE
# Crystal system = trigonal
# M_tot = 0.00 μB/cell
data_AgOs2
_chemical_formula_sum 'Ag1 Os2'
_symmetry_space_group_name_H-M 'P -3 m 1'
_symmetry_Int_Tables_number 164
_symmetry_space_group_name_Hall '-P 3 2"'
_cell_length_a 3.6995
_cell_length_b 3.6995
_cell_length_c 4.8827
_cell_angle_alpha 90.00
_cell_angle_beta 90.00
_cell_angle_gamma 120.00
loop_
_atom_site_label
_atom_site_type_symbol
_atom_site_fract_x
_atom_site_fract_y
_atom_site_fract_z
Ag1 Ag 0.0000 0.0000 0.0000
Os1 Os 0.3333 0.6667 0.3947


2.
# AgOs2, optimized geometry, DFT PBE
# Crystal system = orthorhombic
# M_tot = 0.00 μB/cell
data_AgOs2
_chemical_formula_sum 'Ag4 Os8'
_symmetry_space_group_name_H-M 'C m c m'
_symmetry_Int_Tables_number 63
_symmetry_space_group_name_Hall '-C 2c 2'
_cell_length_a 2.768
_cell_length_b 15.073
_cell_length_c 4.438
_cell_angle_alpha 90.00
_cell_angle_beta 90.00
_cell_angle_gamma 90.00
loop_
_atom_site_label
_atom_site_type_symbol
_atom_site_fract_x
_atom_site_fract_y
_atom_site_fract_z
Ag1 Ag 0.000 0.219 0.250
Os1 Os 0.000 0.097 0.750
Os2 Os 0.000 0.449 0.750


3.
# AgOs2, optimized geometry, DFT PBE
# Crystal system = orthorhombic
# M_tot = 0.00 μB/cell
data_AgOs2
_chemical_formula_sum 'Ag4 Os8'
_symmetry_space_group_name_H-M 'C m c m'
_symmetry_Int_Tables_number 63
_symmetry_space_group_name_Hall '-C 2c 2'
_cell_length_a 3.935
_cell_length_b 11.862
_cell_length_c 3.968
_cell_angle_alpha 90.00
_cell_angle_beta 90.00
_cell_angle_gamma 90.00
loop_
_atom_site_label
_atom_site_type_symbol
_atom_site_fract_x
_atom_site_fract_y
_atom_site_fract_z
Ag1 Ag 0.000 0.079 0.250
Os1 Os 0.000 0.248 0.750
Os2 Os 0.000 0.397 0.250


Taking the most stable structure as the zero point, the relative energies in meV per atom are 1 804; 2 0; 3 335.


1.
# AgOs2, optimized geometry, DFT PBE
# Crystal system = monoclinic
# M_tot = 0.00 μB/cell
data_AgOs2
_chemical_formula_sum 'Ag4 Os8'
_symmetry_space_group_name_H-M 'C 1 2/m 1'
_symmetry_Int_Tables_number 12
_symmetry_space_group_name_Hall '-C 2y'
_cell_length_a 10.141
_cell_length_b 2.756
_cell_length_c 6.830
_cell_angle_alpha 90.00
_cell_angle_beta 104.19
_cell_angle_gamma 90.00
loop_
_atom_site_label
_atom_site_type_symbol
_atom_site_fract_x
_atom_site_fract_y
_atom_site_fract_z
Ag1 Ag 0.137 0.000 0.026
Os1 Os 0.029 0.500 0.331
Os2 Os 0.191 0.000 0.624


2.
# AgOs2, optimized geometry, DFT PBE
# Crystal system = hexagonal
# M_tot = 0.01 μB/cell
data_AgOs2
_chemical_formula_sum 'Ag2 Os4'
_symmetry_space_group_name_H-M 'P 63/m m c'
_symmetry_Int_Tables_number 194
_symmetry_space_group_name_Hall '-P 6c 2c'
_cell_length_a 4.4684
_cell_length_b 4.4684
_cell_length_c 5.3366
_cell_angle_alpha 90.00
_cell_angle_beta 90.00
_cell_angle_gamma 120.00
loop_
_atom_site_label
_atom_site_type_symbol
_atom_site_fract_x
_atom_site_fract_y
_atom_site_fract_z
Ag1 Ag 0.3333 0.6667 0.2500
Os1 Os 0.0000 0.0000 0.0000
Os2 Os 0.3333 0.6667 0.7500


3.
# AgOs2, optimized geometry, DFT PBE
# Crystal system = hexagonal
# M_tot = 0.00 μB/cell
data_AgOs2
_chemical_formula_sum 'Ag1 Os2'
_symmetry_space_group_name_H-M 'P 6/m m m'
_symmetry_Int_Tables_number 191
_symmetry_space_group_name_Hall '-P 6 2'
_cell_length_a 4.4481
_cell_length_b 4.4481
_cell_length_c 2.7398
_cell_angle_alpha 90.00
_cell_angle_beta 90.00
_cell_angle_gamma 120.00
loop_
_atom_site_label
_atom_site_type_symbol
_atom_site_fract_x
_atom_site_fract_y
_atom_site_fract_z
Ag1 Ag 0.0000 0.0000 0.0000
Os1 Os 0.3333 0.6667 0.5000


4.
# AgOs2, optimized geometry, DFT PBE
# Crystal system = orthorhombic
# M_tot = 0.00 μB/cell
data_AgOs2
_chemical_formula_sum 'Ag4 Os8'
_symmetry_space_group_name_H-M 'C m c m'
_symmetry_Int_Tables_number 63
_symmetry_space_group_name_Hall '-C 2c 2'
_cell_length_a 2.802
_cell_length_b 14.306
_cell_length_c 4.528
_cell_angle_alpha 90.00
_cell_angle_beta 90.00
_cell_angle_gamma 90.00
loop_
_atom_site_label
_atom_site_type_symbol
_atom_site_fract_x
_atom_site_fract_y
_atom_site_fract_z
Ag1 Ag 0.000 0.110 0.250
Os1 Os 0.000 0.217 0.750
Os2 Os 0.000 0.441 0.250


Taking the most stable structure as the zero point, the relative energies in meV per atom are 1 0; 2 735; 3 371; 4 255.


1.
# AgOs2, optimized geometry, DFT PBE
# Crystal system = trigonal
# M_tot = 0.00 μB/cell
data_AgOs2
_chemical_formula_sum 'Ag1 Os2'
_symmetry_space_group_name_H-M 'P -3 m 1'
_symmetry_Int_Tables_number 164
_symmetry_space_group_name_Hall '-P 3 2"'
_cell_length_a 2.7684
_cell_length_b 2.7684
_cell_length_c 6.9991
_cell_angle_alpha 90.00
_cell_angle_beta 90.00
_cell_angle_gamma 120.00
loop_
_atom_site_label
_atom_site_type_symbol
_atom_site_fract_x
_atom_site_fract_y
_atom_site_fract_z
Ag1 Ag 0.0000 0.0000 0.0000
Os1 Os 0.3333 0.6667 0.6453


2.
# AgOs2, optimized geometry, DFT PBE
# Crystal system = hexagonal
# M_tot = 0.00 μB/cell
data_AgOs2
_chemical_formula_sum 'Ag4 Os8'
_symmetry_space_group_name_H-M 'P 63/m m c'
_symmetry_Int_Tables_number 194
_symmetry_space_group_name_Hall '-P 6c 2c'
_cell_length_a 5.2105
_cell_length_b 5.2105
_cell_length_c 8.3964
_cell_angle_alpha 90.00
_cell_angle_beta 90.00
_cell_angle_gamma 120.00
loop_
_atom_site_label
_atom_site_type_symbol
_atom_site_fract_x
_atom_site_fract_y
_atom_site_fract_z
Ag1 Ag 0.3333 0.6667 0.0723
Os1 Os 0.0000 0.0000 0.0000
Os2 Os 0.1739 0.3478 0.7500


3.
# AgOs2, optimized geometry, DFT PBE
# Crystal system = tetragonal
# M_tot = 0.00 μB/cell
data_AgOs2
_chemical_formula_sum 'Ag2 Os4'
_symmetry_space_group_name_H-M 'I 4/m m m'
_symmetry_Int_Tables_number 139
_symmetry_space_group_name_Hall '-I 4 2'
_cell_length_a 2.804
_cell_length_b 2.804
_cell_length_c 11.924
_cell_angle_alpha 90.00
_cell_angle_beta 90.00
_cell_angle_gamma 90.00
loop_
_atom_site_label
_atom_site_type_symbol
_atom_site_fract_x
_atom_site_fract_y
_atom_site_fract_z
Ag1 Ag 0.000 0.000 0.000
Os1 Os 0.000 0.000 0.319


4.
# AgOs2, optimized geometry, DFT PBE
# Crystal system = monoclinic
# M_tot = 0.00 μB/cell
data_AgOs2
_chemical_formula_sum 'Ag4 Os8'
_symmetry_space_group_name_H-M 'C 1 m 1'
_symmetry_Int_Tables_number 8
_symmetry_space_group_name_Hall 'C -2y'
_cell_length_a 10.627
_cell_length_b 2.763
_cell_length_c 6.579
_cell_angle_alpha 90.00
_cell_angle_beta 107.25
_cell_angle_gamma 90.00
loop_
_atom_site_label
_atom_site_type_symbol
_atom_site_fract_x
_atom_site_fract_y
_atom_site_fract_z
Ag1 Ag 0.000 0.000 0.000
Ag2 Ag 0.154 0.500 0.333
Os1 Os 0.035 0.000 0.609
Os2 Os 0.227 0.500 0.901
Os3 Os 0.335 0.000 0.653
Os4 Os 0.368 0.000 0.263


Taking the most stable structure as the zero point, the relative energies in meV per atom are 1 0; 2 382; 3 77; 4 237.


1.
# AgOs2, optimized geometry, DFT PBE
# Crystal system = tetragonal
# M_tot = 0.00 μB/cell
data_AgOs2
_chemical_formula_sum 'Ag1 Os2'
_symmetry_space_group_name_H-M 'P 4/m m m'
_symmetry_Int_Tables_number 123
_symmetry_space_group_name_Hall '-P 4 2'
_cell_length_a 4.650
_cell_length_b 4.650
_cell_length_c 2.587
_cell_angle_alpha 90.00
_cell_angle_beta 90.00
_cell_angle_gamma 90.00
loop_
_atom_site_label
_atom_site_type_symbol
_atom_site_fract_x
_atom_site_fract_y
_atom_site_fract_z
Ag1 Ag 0.000 0.000 0.000
Os1 Os 0.000 0.500 0.500


2.
# AgOs2, optimized geometry, DFT PBE
# Crystal system = hexagonal
# M_tot = 0.00 μB/cell
data_AgOs2
_chemical_formula_sum 'Ag2 Os4'
_symmetry_space_group_name_H-M 'P 63/m m c'
_symmetry_Int_Tables_number 194
_symmetry_space_group_name_Hall '-P 6c 2c'
_cell_length_a 4.3686
_cell_length_b 4.3686
_cell_length_c 5.8739
_cell_angle_alpha 90.00
_cell_angle_beta 90.00
_cell_angle_gamma 120.00
loop_
_atom_site_label
_atom_site_type_symbol
_atom_site_fract_x
_atom_site_fract_y
_atom_site_fract_z
Ag1 Ag 0.0000 0.0000 0.2500
Os1 Os 0.3333 0.6667 0.0377


Taking the most stable structure as the zero point, the relative energies in meV per atom are 1 1297; 2 0.